# PmNpF6 (GGA-PBE, optimized geometry)
data_PmNpF6
_chemical_formula_sum 'Pm2 Np2 F12'
_symmetry_space_group_name_H-M 'P 1'
_symmetry_Int_Tables_number 1
_cell_length_a 5.508
_cell_length_b 5.508
_cell_length_c 8.226
_cell_angle_alpha 90.00
_cell_angle_beta 90.00
_cell_angle_gamma 90.00
loop_
_symmetry_equiv_pos_as_xyz
'x,y,z'
loop_
_atom_site_label
_atom_site_fract_x
_atom_site_fract_y
_atom_site_fract_z
Pm1 0.000 0.000 0.250
Pm2 0.000 0.000 0.750
Np1 0.500 0.500 0.000
Np2 0.500 0.500 0.500
F1 0.159 0.798 0.000
F2 0.202 0.159 0.500
F3 0.239 0.680 0.321
F4 0.239 0.680 0.679
F5 0.320 0.239 0.179
F6 0.320 0.239 0.821
F7 0.680 0.761 0.179
F8 0.680 0.761 0.821
F9 0.761 0.320 0.321
F10 0.761 0.320 0.679
F11 0.798 0.841 0.500
F12 0.841 0.202 0.000
# - E_form (uncorrected): -3.7283 eV per atom
# - DFT total energy: -7.343 eV per atom
# - Size of the total moment: 8.0 μB/cell
# - Energy relative to the lowest polymorph listed for this composition: 0 meV/atom
# - Fermi-level density of states: 0.87 states/eV per atom


# PmNpF6 (GGA-PBE, optimized geometry)
data_PmNpF6
_chemical_formula_sum 'Pm1 Np1 F6'
_symmetry_space_group_name_H-M 'P 1'
_symmetry_Int_Tables_number 1
_cell_length_a 5.927
_cell_length_b 5.934
_cell_length_c 6.517
_cell_angle_alpha 63.03
_cell_angle_beta 63.00
_cell_angle_gamma 60.10
loop_
_symmetry_equiv_pos_as_xyz
'x,y,z'
loop_
_atom_site_label
_atom_site_fract_x
_atom_site_fract_y
_atom_site_fract_z
Pm1 0.000 0.000 0.000
Np1 0.500 0.500 0.500
F1 0.146 0.751 0.752
F2 0.248 0.649 0.248
F3 0.351 0.145 0.752
F4 0.649 0.855 0.248
F5 0.752 0.351 0.752
F6 0.854 0.249 0.248
# - E_form (uncorrected): -3.7071 eV per atom
# - DFT total energy: -7.322 eV per atom
# - Size of the total moment: 4.0 μB/cell
# - Energy relative to the lowest polymorph listed for this composition: 21 meV/atom
# - Fermi-level density of states: 0.41 states/eV per atom


# PmNp2F11 (GGA-PBE, optimized geometry)
data_PmNp2F11
_chemical_formula_sum 'Pm2 Np4 F22'
_symmetry_space_group_name_H-M 'P 1'
_symmetry_Int_Tables_number 1
_cell_length_a 8.757
_cell_length_b 8.757
_cell_length_c 8.757
_cell_angle_alpha 122.26
_cell_angle_beta 107.00
_cell_angle_gamma 100.02
loop_
_symmetry_equiv_pos_as_xyz
'x,y,z'
loop_
_atom_site_label
_atom_site_fract_x
_atom_site_fract_y
_atom_site_fract_z
Pm1 0.250 0.250 0.000
Pm2 0.750 0.750 0.000
Np1 0.181 0.651 0.832
Np2 0.319 0.151 0.470
Np3 0.681 0.849 0.530
Np4 0.819 0.349 0.168
F1 0.000 0.500 0.500
F2 0.039 0.950 0.270
F3 0.065 0.355 0.150
F4 0.180 0.450 0.911
F5 0.205 0.915 0.850
F6 0.215 0.372 0.587
F7 0.285 0.872 0.157
F8 0.295 0.145 0.710
F9 0.320 0.231 0.270
F10 0.435 0.585 0.290
F11 0.461 0.731 0.911
F12 0.500 0.000 0.500
F13 0.539 0.269 0.089
F14 0.565 0.415 0.710
F15 0.680 0.769 0.730
F16 0.705 0.855 0.290
F17 0.715 0.128 0.843
F18 0.785 0.628 0.413
F19 0.795 0.085 0.150
F20 0.820 0.550 0.089
F21 0.935 0.645 0.850
F22 0.961 0.050 0.730
# - E_form (uncorrected): -3.6490 eV per atom
# - DFT total energy: -7.307 eV per atom
# - Size of the total moment: 12.0 μB/cell
# - Fermi-level density of states: 0.91 states/eV per atom


# PmNpF2 (GGA-PBE, optimized geometry)
data_PmNpF2
_chemical_formula_sum 'Pm1 Np1 F2'
_symmetry_space_group_name_H-M 'P 1'
_symmetry_Int_Tables_number 1
_cell_length_a 6.677
_cell_length_b 6.677
_cell_length_c 6.677
_cell_angle_alpha 35.02
_cell_angle_beta 35.02
_cell_angle_gamma 35.02
loop_
_symmetry_equiv_pos_as_xyz
'x,y,z'
loop_
_atom_site_label
_atom_site_fract_x
_atom_site_fract_y
_atom_site_fract_z
Pm1 0.000 0.000 0.000
Np1 0.500 0.500 0.500
F1 0.130 0.130 0.130
F2 0.870 0.870 0.870
# - E_form (uncorrected): -2.0480 eV per atom
# - DFT total energy: -7.406 eV per atom
# - Size of the total moment: 4.9 μB/cell
# - Fermi-level density of states: 2.33 states/eV per atom


# PrNp2F11 (GGA-PBE, optimized geometry)
data_PrNp2F11
_chemical_formula_sum 'Pr2 Np4 F22'
_symmetry_space_group_name_H-M 'P 1'
_symmetry_Int_Tables_number 1
_cell_length_a 8.827
_cell_length_b 8.827
_cell_length_c 8.827
_cell_angle_alpha 122.64
_cell_angle_beta 107.19
_cell_angle_gamma 99.51
loop_
_symmetry_equiv_pos_as_xyz
'x,y,z'
loop_
_atom_site_label
_atom_site_fract_x
_atom_site_fract_y
_atom_site_fract_z
Pr1 0.250 0.250 0.000
Pr2 0.750 0.750 0.000
Np1 0.181 0.650 0.831
Np2 0.319 0.150 0.469
Np3 0.681 0.850 0.531
Np4 0.819 0.350 0.169
F1 0.000 0.500 0.500
F2 0.042 0.952 0.273
F3 0.064 0.357 0.153
F4 0.179 0.452 0.910
F5 0.204 0.911 0.847
F6 0.216 0.371 0.587
F7 0.284 0.871 0.155
F8 0.296 0.143 0.707
F9 0.321 0.231 0.273
F10 0.436 0.589 0.293
F11 0.458 0.731 0.910
F12 0.500 0.000 0.500
F13 0.542 0.269 0.090
F14 0.564 0.411 0.707
F15 0.679 0.769 0.727
F16 0.704 0.857 0.293
F17 0.716 0.129 0.845
F18 0.784 0.629 0.413
F19 0.796 0.089 0.153
F20 0.821 0.548 0.090
F21 0.936 0.643 0.847
F22 0.958 0.048 0.727
# - E_form (uncorrected): -3.6441 eV per atom
# - DFT total energy: -7.305 eV per atom
# - Size of the total moment: 12.0 μB/cell
# - Fermi-level density of states: 0.92 states/eV per atom


# Pr2NpF8 (GGA-PBE, optimized geometry)
data_Pr2NpF8
_chemical_formula_sum 'Pr2 Np1 F8'
_symmetry_space_group_name_H-M 'P 1'
_symmetry_Int_Tables_number 1
_cell_length_a 6.869
_cell_length_b 6.869
_cell_length_c 6.869
_cell_angle_alpha 146.76
_cell_angle_beta 121.72
_cell_angle_gamma 68.76
loop_
_symmetry_equiv_pos_as_xyz
'x,y,z'
loop_
_atom_site_label
_atom_site_fract_x
_atom_site_fract_y
_atom_site_fract_z
Pr1 0.185 0.185 0.000
Pr2 0.815 0.815 0.000
Np1 0.500 0.500 0.000
F1 0.056 0.339 0.717
F2 0.193 0.000 0.193
F3 0.350 0.850 0.500
F4 0.378 0.661 0.717
F5 0.622 0.339 0.283
F6 0.650 0.150 0.500
F7 0.807 0.000 0.807
F8 0.944 0.661 0.283
# - E_form (uncorrected): -3.6077 eV per atom
# - DFT total energy: -7.014 eV per atom
# - Size of the total moment: 5.0 μB/cell
# - Fermi-level density of states: 0.48 states/eV per atom


# Pu2NpF8 (GGA-PBE, optimized geometry)
data_Pu2NpF8
_chemical_formula_sum 'Pu2 Np1 F8'
_symmetry_space_group_name_H-M 'P 1'
_symmetry_Int_Tables_number 1
_cell_length_a 7.498
_cell_length_b 7.498
_cell_length_c 5.811
_cell_angle_alpha 110.23
_cell_angle_beta 110.23
_cell_angle_gamma 31.23
loop_
_symmetry_equiv_pos_as_xyz
'x,y,z'
loop_
_atom_site_label
_atom_site_fract_x
_atom_site_fract_y
_atom_site_fract_z
Pu1 0.178 0.178 0.180
Pu2 0.822 0.822 0.820
Np1 0.500 0.500 0.500
F1 0.029 0.029 0.299
F2 0.210 0.210 0.805
F3 0.335 0.335 0.546
F4 0.404 0.404 0.066
F5 0.596 0.596 0.934
F6 0.665 0.665 0.454
F7 0.790 0.790 0.195
F8 0.971 0.971 0.701
# - E_form (uncorrected): -3.4428 eV per atom
# - DFT total energy: -8.586 eV per atom
# - Size of the total moment: 15.0 μB/cell
# - Energy relative to the lowest polymorph listed for this composition: 0 meV/atom
# - Fermi-level density of states: 2.80 states/eV per atom


# PuNpF5 (GGA-PBE, optimized geometry)
data_PuNpF5
_chemical_formula_sum 'Pu2 Np2 F10'
_symmetry_space_group_name_H-M 'P 1'
_symmetry_Int_Tables_number 1
_cell_length_a 6.285
_cell_length_b 6.285
_cell_length_c 8.360
_cell_angle_alpha 109.36
_cell_angle_beta 109.36
_cell_angle_gamma 72.80
loop_
_symmetry_equiv_pos_as_xyz
'x,y,z'
loop_
_atom_site_label
_atom_site_fract_x
_atom_site_fract_y
_atom_site_fract_z
Pu1 0.000 0.000 0.000
Pu2 0.000 0.000 0.500
Np1 0.485 0.515 0.750
Np2 0.515 0.485 0.250
F1 0.161 0.839 0.750
F2 0.251 0.255 0.626
F3 0.255 0.251 0.126
F4 0.326 0.671 0.479
F5 0.329 0.674 0.021
F6 0.671 0.326 0.979
F7 0.674 0.329 0.521
F8 0.745 0.749 0.874
F9 0.749 0.745 0.374
F10 0.839 0.161 0.250
# - E_form (uncorrected): -3.2528 eV per atom
# - DFT total energy: -8.486 eV per atom
# - Size of the total moment: 20.0 μB/cell
# - Fermi-level density of states: 2.63 states/eV per atom